(1)
Here is a geometry-optimized PuPa2Tc2 structure from the Alexandria database. Energies are from GGA-PBE.

Computed properties:
calculated total energy = -106.1 eV per cell
symmetry = Fddd

a b c (Å): 6.990 6.990 7.020
angles (deg): 122.46 122.46 85.48
Fractional coordinates of all 10 atoms:
Pa  0.813  0.564  0.626
Pa  0.564  0.813  0.126
Pa  0.436  0.187  0.874
Pa  0.187  0.436  0.374
Tc  0.607  0.393  0.750
Tc  0.393  0.607  0.250
Tc  0.857  0.143  0.250
Tc  0.143  0.857  0.750
Pu  0.875  0.125  0.750
Pu  0.125  0.875  0.250

(2)
Here is a geometry-optimized Pu2Pa8Tc structure from the Alexandria database. Energies are from GGA-PBE.

Computed properties:
calculated total energy = -114.8 eV per cell
symmetry = C2/m

a b c (Å): 4.866 6.446 9.167
angles (deg): 114.34 105.39 90.00
Fractional coordinates of all 11 atoms:
Pa  0.695  0.060  0.389
Pa  0.818  0.680  0.637
Pa  0.030  0.782  0.061
Pa  0.182  0.320  0.363
Pa  0.394  0.479  0.788
Pa  0.305  0.940  0.611
Pa  0.970  0.218  0.939
Pa  0.606  0.521  0.212
Pu  0.152  0.669  0.303
Pu  0.848  0.331  0.697
Tc  0.500  0.000  0.000

(3)
Here is a geometry-optimized Pu5PaTc6 structure from the Alexandria database. Energies are from GGA-PBE.

Computed properties:
calculated total energy = -142.3 eV per cell
symmetry = Cmmm

a b c (Å): 4.773 6.801 7.532
angles (deg): 90.00 71.49 90.00
Fractional coordinates of all 12 atoms:
Tc  0.836  0.753  0.327
Tc  0.164  0.753  0.673
Tc  0.164  0.247  0.673
Tc  0.836  0.247  0.327
Tc  0.500  0.752  0.000
Tc  0.500  0.248  0.000
Pa  0.000  0.000  0.000
Pu  0.666  0.500  0.668
Pu  0.667  0.000  0.667
Pu  0.333  0.000  0.333
Pu  0.334  0.500  0.332
Pu  0.000  0.500  0.000

(4)
Here is a geometry-optimized PuPaTc structure from the Alexandria database. Energies are from GGA-PBE.

Computed properties:
distance to the lowest polymorph of the same formula = 149 meV per atom
symmetry = Pnma

a b c (Å): 4.844 8.176 6.048
angles (deg): 90.00 90.00 90.00
Fractional coordinates of all 12 atoms:
Pu  0.250  0.052  0.792
Pu  0.250  0.448  0.292
Pu  0.750  0.552  0.708
Pu  0.750  0.948  0.208
Tc  0.250  0.766  0.971
Tc  0.250  0.734  0.471
Tc  0.750  0.266  0.529
Tc  0.750  0.234  0.029
Pa  0.750  0.890  0.667
Pa  0.250  0.390  0.833
Pa  0.750  0.610  0.167
Pa  0.250  0.110  0.333

Question: Number 4 is which compound?
Answer: PuPaTc